Record 1
Sm6BS12: relaxed, PBE.

ΔE_f (raw): -1.36 eV per atom
Calculated total energy: -5.812 eV per atom
M_tot: 0.0 Bohr magnetons per cell

Lattice parameters (Å, degrees): 11.8279 11.8279 11.1094 90.00 90.00 120.00
Closest atoms and distances in Å follow each position.
Space group R-3 (No. 148, hexagonal axes)
Symmetry-distinct sites (fractional):
1 Sm 0.0543 0.4503 0.3188 x18  7 S 2.75-2.91
2 B 0.0000 0.0000 0.0000 x3  6 S 2.24
3 S 0.0434 0.2224 0.4011 x18  4 Sm 2.75-2.89
4 S 0.0506 0.1813 0.8949 x18  1 B 2.24



Record 2
La2YSiN: relaxed, PBE.

ΔE_f (raw): -0.83 eV per atom
Calculated total energy: -6.845 eV per atom
M_tot: 0.0 Bohr magnetons per cell

Lattice parameters (Å, degrees): 5.0121 5.0121 4.7521 90.00 90.00 90.00
Closest atoms and distances in Å follow each position.
Space group P4/mmm (No. 123)
Symmetry-distinct sites (fractional):
1 La 0.0000 0.5000 0.0000 x2  2 N 2.51
2 Y 0.0000 0.0000 0.5000 x1  2 N 2.38
3 Si 0.5000 0.5000 0.5000 x1  8 La 3.45, 4 Y 3.54
4 N 0.0000 0.0000 0.0000 x1  2 Y 2.38, 4 La 2.51



Record 3
SrYCdPd: relaxed, PBE.

Calculated total energy: -3.967 eV per atom
Formation energy from the elements: -0.4031 eV/atom
M_tot: 0.0 Bohr magnetons per cell

Lattice parameters (Å, degrees): 7.4792 7.4792 7.4792 90.00 90.00 90.00
Closest atoms and distances in Å follow each position.
Space group F-43m (No. 216)
Symmetry-distinct sites (fractional):
1 Sr 0.0000 0.0000 0.0000 x4  4 Pd 3.24, 4 Cd 3.24
2 Y 0.0000 0.0000 0.5000 x4  4 Cd 3.24, 4 Pd 3.24
3 Cd 0.2500 0.2500 0.2500 x4  4 Sr 3.24, 4 Y 3.24
4 Pd 0.2500 0.2500 0.7500 x4  4 Y 3.24, 4 Sr 3.24